[1]
Computed, not measured: NdGa2GeRu2 after structural relaxation at the PBE level of DFT.

* calculated total energy: -35.33 eV per cell
* density: 7.82 g cm⁻³
* space group: No. 123

```
data_NdGa2GeRu2
_symmetry_space_group_name_H-M 'P 1'
_symmetry_Int_Tables_number 1
_cell_length_a 4.549
_cell_length_b 4.549
_cell_length_c 5.733
_cell_angle_alpha 90.00
_cell_angle_beta 90.00
_cell_angle_gamma 90.00
loop_
_symmetry_equiv_pos_as_xyz
'x,y,z'
loop_
_atom_site_label
_atom_site_type_symbol
_atom_site_fract_x
_atom_site_fract_y
_atom_site_fract_z
Nd1 Nd 0.000 0.000 0.000
Ga1 Ga 0.500 0.500 0.234
Ga2 Ga 0.500 0.500 0.766
Ge1 Ge 0.000 0.000 0.500
Ru1 Ru 0.000 0.500 0.500
Ru2 Ru 0.500 0.000 0.500
```

[2]
Computed, not measured: NdSmGaGe after structural relaxation at the PBE level of DFT.

* energy above the most stable polymorph in this dataset: 0.0 kJ/mol of formula units
* calculated total energy: -20.20 eV per cell
* density: 7.14 g cm⁻³
* space group: No. 38

```
data_NdSmGaGe
_symmetry_space_group_name_H-M 'P 1'
_symmetry_Int_Tables_number 1
_cell_length_a 4.093
_cell_length_b 6.013
_cell_length_c 6.013
_cell_angle_alpha 43.39
_cell_angle_beta 90.00
_cell_angle_gamma 90.00
loop_
_symmetry_equiv_pos_as_xyz
'x,y,z'
loop_
_atom_site_label
_atom_site_type_symbol
_atom_site_fract_x
_atom_site_fract_y
_atom_site_fract_z
Nd1 Nd 0.000 0.000 0.000
Sm1 Sm 0.500 0.281 0.281
Ga1 Ga 0.500 0.566 0.566
Ge1 Ge 0.000 0.717 0.717
```

Which value of density does entry 2 give?
7.14 g cm⁻³

Which value of density does entry 1 give?
7.82 g cm⁻³

Look up the calculated total energy of the first one.
-35.33 eV per cell